The following is a DFT calculation (PBE-GGA) of crystalline AlCrPt2 at its relaxed geometry.

a b c (Å): 8.8288 8.8288 8.8288
angles (deg): 18.07 18.07 18.07
With the nearest neighbours (Å) after each atom.
Sites, in units of the cell vectors:
Al 0.0000 0.0000 0.0000  3 Cr 2.61, 3 Pt 2.62, 6 Al 2.77
Cr 0.2543 0.2543 0.2543  3 Pt 2.60, 3 Al 2.61, 6 Cr 2.77
Pt 0.5090 0.5090 0.5090  3 Cr 2.60, 6 Pt 2.77
Pt 0.7465 0.7465 0.7465  3 Al 2.62, 6 Pt 2.77

Values from the calculation:
Total moment: 0.80 μB/f.u.
Formation energy from the elements: -300 meV per atom
Density of states at the Fermi level: 3.334 states/eV per cell
Symmetry: R3m, No. 160
Electronic total energy: -6.662 eV per atom

---

The following is a DFT calculation (PBE-GGA) of crystalline AlCrPt2 at its relaxed geometry.

a b c (Å): 2.8610 4.5230 4.5873
angles (deg): 90.00 90.00 90.00
With the nearest neighbours (Å) after each atom.
Sites, in units of the cell vectors:
Al 0.0000 0.0000 0.0000  8 Pt 2.70-2.71, 2 Al 2.86, 2 Cr 3.01
Cr 0.0000 0.5000 0.5672  8 Pt 2.69-2.72, 2 Cr 2.86, 2 Al 3.01
Pt 0.5000 0.0000 0.5020  4 Cr 2.69, 4 Al 2.70-2.71, 4 Pt 2.86-3.00
Pt 0.5000 0.5000 0.0708  4 Cr 2.69-2.72, 4 Al 2.70, 4 Pt 2.86-3.00

Values from the calculation:
Total moment: 3.48 μB/f.u.
Formation energy from the elements: -575 meV per atom
Density of states at the Fermi level: 2.618 states/eV per cell
Symmetry: Pmm2, No. 25
Electronic total energy: -6.936 eV per atom